# La4TbHoTm2 | Alexandria | PBE-GGA | relaxed
data_La4TbHoTm2
_cell_length_a 5.249
_cell_length_b 5.225
_cell_length_c 11.155
_cell_angle_alpha 62.06
_cell_angle_beta 90.00
_cell_angle_gamma 90.00
_symmetry_space_group_name_H-M 'P 1'
_symmetry_Int_Tables_number 1
loop_
_symmetry_equiv_pos_as_xyz
'x,y,z'
loop_
_atom_site_label
_atom_site_type_symbol
_atom_site_fract_x
_atom_site_fract_y
_atom_site_fract_z
_atom_site_occupancy
La1 La 0.000 0.250 0.251 1
La2 La 0.500 0.251 0.749 1
La3 La 0.500 0.749 0.251 1
La4 La 0.000 0.750 0.749 1
Tm1 Tm 0.000 0.000 0.000 1
Tm2 Tm 0.500 0.000 0.500 1
Tb1 Tb 0.500 0.500 0.000 1
Ho1 Ho 0.000 0.500 0.500 1
# ΔE_f in eV per atom: 0.02
# Space-group type: Pmmm (47)



# La5Tb2HoTm | Alexandria | PBE-GGA | relaxed
data_La5Tb2HoTm
_cell_length_a 8.106
_cell_length_b 8.106
_cell_length_c 11.359
_cell_angle_alpha 110.91
_cell_angle_beta 110.91
_cell_angle_gamma 90.00
_symmetry_space_group_name_H-M 'P 1'
_symmetry_Int_Tables_number 1
loop_
_symmetry_equiv_pos_as_xyz
'x,y,z'
loop_
_atom_site_label
_atom_site_type_symbol
_atom_site_fract_x
_atom_site_fract_y
_atom_site_fract_z
_atom_site_occupancy
La1 La 0.421 0.350 0.272 1
La2 La 0.000 0.000 0.000 1
La3 La 0.079 0.579 0.728 1
La4 La 0.579 0.650 0.728 1
La5 La 0.650 0.150 0.728 1
La6 La 0.500 0.500 0.000 1
La7 La 0.150 0.079 0.728 1
La8 La 0.850 0.921 0.272 1
La9 La 0.921 0.421 0.272 1
La10 La 0.350 0.850 0.272 1
Tb1 Tb 0.129 0.371 0.000 1
Tb2 Tb 0.371 0.871 0.000 1
Tb3 Tb 0.629 0.129 0.000 1
Tb4 Tb 0.871 0.629 0.000 1
Ho1 Ho 0.750 0.750 0.500 1
Ho2 Ho 0.250 0.250 0.500 1
Tm1 Tm 0.250 0.750 0.500 1
Tm2 Tm 0.750 0.250 0.500 1
# ΔE_f in eV per atom: 0.29
# Space-group type: I4/mcm (140)



# LaTb6HoTm2 | Alexandria | PBE-GGA | relaxed
data_LaTb6HoTm2
_cell_length_a 9.424
_cell_length_b 8.795
_cell_length_c 8.795
_cell_angle_alpha 116.39
_cell_angle_beta 92.70
_cell_angle_gamma 92.70
_symmetry_space_group_name_H-M 'P 1'
_symmetry_Int_Tables_number 1
loop_
_symmetry_equiv_pos_as_xyz
'x,y,z'
loop_
_atom_site_label
_atom_site_type_symbol
_atom_site_fract_x
_atom_site_fract_y
_atom_site_fract_z
_atom_site_occupancy
Tm1 Tm 0.053 0.305 0.203 1
Tm2 Tm 0.447 0.797 0.695 1
Tm3 Tm 0.947 0.695 0.797 1
Tm4 Tm 0.553 0.203 0.305 1
Tb1 Tb 0.943 0.882 0.242 1
Tb2 Tb 0.180 0.553 0.008 1
Tb3 Tb 0.320 0.992 0.447 1
Tb4 Tb 0.886 0.292 0.520 1
Tb5 Tb 0.386 0.520 0.292 1
Tb6 Tb 0.114 0.708 0.480 1
Tb7 Tb 0.614 0.480 0.708 1
Tb8 Tb 0.680 0.008 0.553 1
Tb9 Tb 0.057 0.118 0.758 1
Tb10 Tb 0.557 0.758 0.118 1
Tb11 Tb 0.820 0.447 0.992 1
Tb12 Tb 0.443 0.242 0.882 1
La1 La 0.250 0.964 0.036 1
La2 La 0.750 0.036 0.964 1
Ho1 Ho 0.750 0.589 0.411 1
Ho2 Ho 0.250 0.411 0.589 1
# ΔE_f in eV per atom: 0.12
# Space-group type: C2/c (15)



# LaTbHoTm | Alexandria | PBE-GGA | relaxed
data_LaTbHoTm
_cell_length_a 5.716
_cell_length_b 5.716
_cell_length_c 5.716
_cell_angle_alpha 60.00
_cell_angle_beta 60.00
_cell_angle_gamma 60.00
_symmetry_space_group_name_H-M 'P 1'
_symmetry_Int_Tables_number 1
loop_
_symmetry_equiv_pos_as_xyz
'x,y,z'
loop_
_atom_site_label
_atom_site_type_symbol
_atom_site_fract_x
_atom_site_fract_y
_atom_site_fract_z
_atom_site_occupancy
Tb1 Tb 0.750 0.750 0.750 1
Tm1 Tm 0.500 0.500 0.500 1
Ho1 Ho 0.000 0.000 0.000 1
La1 La 0.250 0.250 0.250 1
# ΔE_f in eV per atom: 0.11
# Space-group type: F-43m (216)



# La2TbHoTm2 | Alexandria | PBE-GGA | relaxed
data_La2TbHoTm2
_cell_length_a 5.731
_cell_length_b 6.338
_cell_length_c 10.974
_cell_angle_alpha 90.00
_cell_angle_beta 90.00
_cell_angle_gamma 90.00
_symmetry_space_group_name_H-M 'P 1'
_symmetry_Int_Tables_number 1
loop_
_symmetry_equiv_pos_as_xyz
'x,y,z'
loop_
_atom_site_label
_atom_site_type_symbol
_atom_site_fract_x
_atom_site_fract_y
_atom_site_fract_z
_atom_site_occupancy
Tb1 Tb 0.500 0.178 0.744 1
Tb2 Tb 0.500 0.678 0.256 1
Tm1 Tm 0.500 0.172 0.421 1
Tm2 Tm 0.000 0.842 0.087 1
Tm3 Tm 0.500 0.672 0.579 1
Tm4 Tm 0.000 0.342 0.913 1
La1 La 0.500 0.674 0.918 1
La2 La 0.000 0.341 0.251 1
La3 La 0.000 0.841 0.749 1
La4 La 0.500 0.174 0.082 1
Ho1 Ho 0.000 0.839 0.419 1
Ho2 Ho 0.000 0.339 0.581 1
# ΔE_f in eV per atom: 0.03
# Space-group type: Pmc2_1 (26)



# LaTb5Ho2Tm | Alexandria | PBE-GGA | relaxed
data_LaTb5Ho2Tm
_cell_length_a 5.629
_cell_length_b 10.316
_cell_length_c 10.534
_cell_angle_alpha 90.00
_cell_angle_beta 90.00
_cell_angle_gamma 105.83
_symmetry_space_group_name_H-M 'P 1'
_symmetry_Int_Tables_number 1
loop_
_symmetry_equiv_pos_as_xyz
'x,y,z'
loop_
_atom_site_label
_atom_site_type_symbol
_atom_site_fract_x
_atom_site_fract_y
_atom_site_fract_z
_atom_site_occupancy
La1 La 0.583 0.166 0.952 1
La2 La 0.417 0.834 0.452 1
Tb1 Tb 0.480 0.960 0.738 1
Tb2 Tb 0.719 0.439 0.815 1
Tb3 Tb 0.281 0.561 0.315 1
Tb4 Tb 0.017 0.035 0.024 1
Tb5 Tb 0.297 0.594 0.709 1
Tb6 Tb 0.983 0.965 0.524 1
Tb7 Tb 0.616 0.231 0.523 1
Tb8 Tb 0.703 0.406 0.209 1
Tb9 Tb 0.384 0.769 0.023 1
Tb10 Tb 0.520 0.040 0.238 1
Ho1 Ho 0.112 0.225 0.733 1
Ho2 Ho 0.888 0.775 0.233 1
Ho3 Ho 0.114 0.228 0.318 1
Ho4 Ho 0.886 0.772 0.818 1
Tm1 Tm 0.800 0.601 0.512 1
Tm2 Tm 0.200 0.399 0.012 1
# ΔE_f in eV per atom: 0.16
# Space-group type: Cmc2_1 (36)



no.,DOS(E_F) (states/eV/f.u.),spin magnetization (μB per atom)
1,10.67,0.000
2,13.86,0.000
3,14.90,0.001
4,6.80,0.000
5,11.05,0.000
6,14.85,0.000